1.
The following is a PBEsol calculation of a relaxed OsPtW2 crystal, from Alexandria via LeMat-Bulk.

POSCAR file:
```
OsPtW2
1.0
-1.4899 -1.3962 1.8682
0.9144 -2.4273 0.9651
4.2000 3.0608 7.6869
Os Pt W
1 1 2
direct
0.5021 0.5021 0.4937
0.7499 0.7499 0.7504
0.0018 0.0018 0.9947
0.2463 0.2463 0.2612
```

Properties
* Fermi-level density of states: 0.650 states/eV/atom
* SG: R3m (160)
* excess energy over the best structure of this formula in the dataset: 268.5 meV/atom
* E_form: 0.12 eV per atom


2.
The following is a PBEsol calculation of a relaxed OsPtW2 crystal, from Alexandria via LeMat-Bulk.

POSCAR file:
```
OsPtW2
1.0
-1.5815 -2.1587 0.6437
2.6874 -2.8090 -2.8171
1.7662 0.0371 4.4641
Os W Pt
1 2 1
direct
0.5000 0.0000 0.0000
0.0000 0.5000 0.0000
0.0000 0.0000 0.5000
0.5000 0.5000 0.5000
```

Properties
* Fermi-level density of states: 0.624 states/eV/atom
* SG: Cmmm (65)
* excess energy over the best structure of this formula in the dataset: 39.9 meV/atom
* E_form: -0.11 eV per atom


3.
The following is a PBEsol calculation of a relaxed OsPtW2 crystal, from Alexandria via LeMat-Bulk.

POSCAR file:
```
OsPtW2
1.0
-2.5426 1.6481 2.4491
-0.6632 -3.4686 1.6456
2.8938 0.6611 2.5595
Os W Pt
1 2 1
direct
0.5000 0.5000 0.5000
0.0000 0.5000 0.0000
0.5000 0.0000 0.0000
0.0000 0.0000 0.5000
```

Properties
* Fermi-level density of states: 0.532 states/eV/atom
* SG: P4/mmm (123)
* excess energy over the best structure of this formula in the dataset: 5.9 meV/atom
* E_form: -0.14 eV per atom